[1]
# ScSi2As, relaxed, DFT PBE
data_ScSi2As
_chemical_formula_sum 'Sc1 Si2 As1'
_symmetry_space_group_name_H-M 'P 4/m m m'
_symmetry_Int_Tables_number 123
_symmetry_space_group_name_Hall '-P 4 2'
_cell_length_a 3.790
_cell_length_b 3.790
_cell_length_c 4.819
_cell_angle_alpha 90.00
_cell_angle_beta 90.00
_cell_angle_gamma 90.00
loop_
_atom_site_label
_atom_site_fract_x
_atom_site_fract_y
_atom_site_fract_z
Sc1 0.000 0.000 0.000
Si1 0.000 0.500 0.500
As1 0.500 0.500 0.000
# * raw formation energy: -0.21 eV per atom

***

[2]
# Ac2Cd3Ga2, relaxed, DFT PBE
data_Ac2Cd3Ga2
_chemical_formula_sum 'Ac4 Cd6 Ga4'
_symmetry_space_group_name_H-M 'C m m m'
_symmetry_Int_Tables_number 65
_symmetry_space_group_name_Hall '-C 2 2'
_cell_length_a 4.373
_cell_length_b 23.145
_cell_length_c 3.877
_cell_angle_alpha 90.00
_cell_angle_beta 90.00
_cell_angle_gamma 90.00
loop_
_atom_site_label
_atom_site_fract_x
_atom_site_fract_y
_atom_site_fract_z
Ac1 0.000 0.158 0.000
Cd1 0.000 0.000 0.000
Cd2 0.000 0.435 0.500
Ga1 0.000 0.280 0.500
# * formation energy from the elements: -0.312 eV/atom
# * relative energy among the computed polymorphs: 73 meV per atom

***

no.,Fermi-level density of states (states/eV/f.u.)
1,2.41
2,2.42